(1)
First-principles (GGA-PBE) data for crystalline PrHoTm at its relaxed geometry, as listed in the Alexandria database.

abc: 3.5373 5.4238 10.3147
angles: 90.00 99.88 90.00
Closest atoms and distances in Å follow each position.
Atoms (fractional coordinates):
Pr (0.2058, 0.2500, 0.4110)  1 Tm 3.36, 6 Pr 3.54-3.71, 5 Ho 3.71-3.76
Pr (0.7942, 0.7500, 0.5890)  1 Tm 3.36, 6 Pr 3.54-3.71, 5 Ho 3.71-3.76
Ho (0.3877, 0.2500, 0.7763)  2 Ho 3.54, 6 Tm 3.55-3.56, 5 Pr 3.71-3.76
Ho (0.6123, 0.7500, 0.2237)  2 Ho 3.54, 6 Tm 3.55-3.56, 5 Pr 3.71-3.76
Tm (0.0409, 0.2500, 0.0804)  4 Tm 3.17-3.54, 1 Pr 3.36
Tm (0.9591, 0.7500, 0.9196)  4 Tm 3.17-3.54, 1 Pr 3.36

Properties
- DOS at the Fermi energy: 9.589 states/eV/cell
- Crystal system: monoclinic
- Space-group type: P2_1/m, No. 11
- Formation energy from the elements: 37 meV per atom
- ΔE to the lowest computed polymorph: 0.321 kcal/mol of atoms

(2)
First-principles (GGA-PBE) data for crystalline TmSc3S at its relaxed geometry, as listed in the Alexandria database.

abc: 4.9610 4.9610 4.9610
angles: 90.00 90.00 90.00
Closest atoms and distances in Å follow each position.
Atoms (fractional coordinates):
Tm (0.0000, 0.0000, 0.0000)  12 Sc 3.51
Sc (0.0000, 0.5000, 0.5000)  2 S 2.48
Sc (0.5000, 0.0000, 0.5000)  2 S 2.48
Sc (0.5000, 0.5000, 0.0000)  2 S 2.48
S (0.5000, 0.5000, 0.5000)  6 Sc 2.48

Properties
- DOS at the Fermi energy: 8.556 states/eV/cell
- Crystal system: cubic
- Energy relative to the elements, uncorrected: -603.7 meV per atom
- Space-group type: Pm-3m, No. 221

Number 1: DFT total energy -0.1681 Ha/atom, total magnetization 0.000 μB per atom. Number 2: DFT total energy -0.2250 Ha/atom, total magnetization 0.274 μB per atom.